# MgMoRu3 (GGA-PBE, relaxed)
# formation energy = 1.236 eV/atom
data_MgMoRu3
_chemical_formula_sum 'Mg1 Mo1 Ru3'
_cell_length_a 4.6630
_cell_length_b 4.6630
_cell_length_c 4.6630
_cell_angle_alpha 90.00
_cell_angle_beta 90.00
_cell_angle_gamma 90.00
_symmetry_space_group_name_H-M 'P m -3 m'
_symmetry_Int_Tables_number 221
_symmetry_space_group_name_Hall '-P 4 2 3'
loop_
_atom_site_label
_atom_site_type_symbol
_atom_site_fract_x
_atom_site_fract_y
_atom_site_fract_z
Mg1 Mg 0.0000 0.0000 0.0000
Mo1 Mo 0.5000 0.5000 0.5000
Ru1 Ru 0.0000 0.5000 0.5000